Entry 1:
Below is a relaxed PaCdGaO6 crystal, with properties calculated at the PBE level.

```
PaCdGaO6
1.0
5.397 0.000 0.000
-2.698 4.674 0.000
0.000 0.000 4.751
Pa Cd Ga O
1 1 1 6
Direct
0.000 0.000 0.000 Pa
0.667 0.333 0.500 Cd
0.333 0.667 0.500 Ga
0.036 0.350 0.262 O
0.036 0.686 0.738 O
0.314 0.350 0.738 O
0.314 0.964 0.262 O
0.650 0.686 0.262 O
0.650 0.964 0.738 O
```

## Properties
Crystal system: trigonal
Magnetic moment: 2.03 μB per cell
VASP energy: -60.01 eV/f.u.

Entry 2:
Below is a relaxed PaCdGa2O8 crystal, with properties calculated at the PBE level.

```
PaCdGa2O8
1.0
-3.517 3.517 3.424
3.517 -3.517 3.424
3.517 3.517 -3.424
Pa Cd Ga O
1 1 2 8
Direct
0.000 0.000 0.000 Pa
0.750 0.250 0.500 Cd
0.250 0.750 0.500 Ga
0.500 0.500 0.000 Ga
0.077 0.376 0.299 O
0.077 0.778 0.701 O
0.121 0.303 0.818 O
0.222 0.923 0.299 O
0.485 0.303 0.182 O
0.624 0.923 0.701 O
0.697 0.515 0.818 O
0.697 0.879 0.182 O
```

## Properties
Crystal system: tetragonal
Magnetic moment: 3.03 μB per cell
VASP energy: -75.83 eV/f.u.

Entry 3:
Below is a relaxed CdGaPbO4 crystal, with properties calculated at the PBE level.

```
CdGaPbO4
1.0
-3.246 3.323 4.610
3.246 -3.323 4.610
3.246 3.323 -4.610
Cd Ga Pb O
2 2 2 8
Direct
0.500 0.000 0.000 Cd
0.500 0.500 0.500 Cd
0.119 0.369 0.750 Ga
0.881 0.631 0.250 Ga
0.000 0.000 0.000 Pb
0.500 0.000 0.500 Pb
0.236 0.746 0.490 O
0.243 0.254 0.511 O
0.243 0.732 0.989 O
0.245 0.254 0.990 O
0.755 0.746 0.010 O
0.757 0.268 0.011 O
0.757 0.746 0.489 O
0.764 0.254 0.510 O
```

## Properties
Crystal system: orthorhombic
Magnetic moment: 0.00 μB per cell
VASP energy: -35.76 eV/f.u.

Entry 4:
Below is a relaxed CdGaPb2O6 crystal, with properties calculated at the PBE level.

```
CdGaPb2O6
1.0
2.812 1.624 5.055
-2.812 1.624 5.055
0.000 -3.247 5.055
Cd Ga Pb O
1 1 2 6
Direct
0.000 0.000 0.000 Cd
0.482 0.482 0.482 Ga
0.269 0.269 0.269 Pb
0.783 0.783 0.783 Pb
0.105 0.667 0.400 O
0.212 0.592 0.832 O
0.400 0.105 0.667 O
0.592 0.832 0.212 O
0.667 0.400 0.105 O
0.832 0.212 0.592 O
```

## Properties
Crystal system: trigonal
Magnetic moment: 0.00 μB per cell
VASP energy: -52.45 eV/f.u.

Entry 5:
Below is a relaxed Cd2GaPbO4 crystal, with properties calculated at the PBE level.

```
Cd2GaPbO4
1.0
0.000 3.735 4.857
3.728 0.000 4.857
3.728 3.735 0.000
Cd Ga Pb O
2 1 1 4
Direct
0.000 0.000 0.500 Cd
0.500 0.500 0.000 Cd
0.250 0.250 0.750 Ga
0.750 0.750 0.250 Pb
0.166 0.571 0.834 O
0.335 0.930 0.070 O
0.571 0.166 0.429 O
0.930 0.335 0.665 O
```

## Properties
Crystal system: orthorhombic
Magnetic moment: 0.00 μB per cell
VASP energy: -37.53 eV/f.u.

Entry 6:
Below is a relaxed PmCdGaO4 crystal, with properties calculated at the PBE level.

```
PmCdGaO4
1.0
3.065 -4.816 0.000
3.065 4.816 0.000
0.000 0.000 7.053
Pm Cd Ga O
2 2 2 8
Direct
0.000 0.000 0.000 Pm
0.000 0.000 0.500 Pm
0.330 0.670 0.750 Cd
0.670 0.330 0.250 Cd
0.352 0.648 0.250 Ga
0.648 0.352 0.750 Ga
0.240 0.282 0.250 O
0.241 0.759 0.036 O
0.241 0.759 0.464 O
0.282 0.240 0.750 O
0.718 0.760 0.250 O
0.759 0.241 0.536 O
0.759 0.241 0.964 O
0.760 0.718 0.750 O
```

## Properties
Crystal system: orthorhombic
Magnetic moment: 0.00 μB per cell
VASP energy: -43.59 eV/f.u.

Formation energy without anion corrections values, unit kcal/mol of atoms, following the record order: -43.11, -37.85, -27.27, -26.15, -26.31, -49.61.